No. 1
Computed, not measured: a geometry-optimized Rb3YF6 structure at the PBE level of DFT.

Cell: 6.9877 6.9877 6.9877 Å, 118.51 118.51 92.60°
Atoms (fractional coordinates):
Rb1 0.0000 0.0000 0.0000
Rb2 0.2500 0.7500 0.5000
Rb3 0.7500 0.2500 0.5000
Y1 0.5000 0.5000 0.0000
F1 0.1952 0.5000 0.6952
F2 0.2698 0.2698 0.0000
F3 0.5000 0.1952 0.6952
F4 0.5000 0.8048 0.3048
F5 0.7302 0.7302 0.0000
F6 0.8048 0.5000 0.3048

## Properties
For the density of states at the Fermi level, the calculation gives 0.00 states/eV/f.u. The formation energy from raw total energies comes out at -3.238 eV/atom.

=====

No. 2
Computed, not measured: a geometry-optimized RbYF2 structure at the PBE level of DFT.

Cell: 4.0273 4.0273 22.1432 Å, 90.00 90.00 120.00°
Atoms (fractional coordinates):
Rb1 0.0000 0.0000 0.0000
Rb2 0.3333 0.6667 0.6667
Rb3 0.6667 0.3333 0.3333
Y1 0.0000 0.0000 0.5000
Y2 0.3333 0.6667 0.1667
Y3 0.6667 0.3333 0.8333
F1 0.0000 0.0000 0.1445
F2 0.0000 0.0000 0.8555
F3 0.3333 0.6667 0.5222
F4 0.3333 0.6667 0.8112
F5 0.6667 0.3333 0.1888
F6 0.6667 0.3333 0.4778

## Properties
As for the excess energy over the best structure of this formula in the dataset: 124.4 meV/atom. For the density of states at the Fermi level, the calculation gives 2.14 states/eV/f.u. The formation energy from raw total energies comes out at -2.478 eV/atom.

=====

No. 3
Computed, not measured: a geometry-optimized RbYF2 structure at the PBE level of DFT.

Cell: 3.9840 3.9840 22.5047 Å, 90.00 90.00 120.00°
Atoms (fractional coordinates):
Rb1 0.0000 0.0000 0.0000
Rb2 0.3333 0.6667 0.6667
Rb3 0.6667 0.3333 0.3333
Y1 0.0000 0.0000 0.5000
Y2 0.3333 0.6667 0.1667
Y3 0.6667 0.3333 0.8333
F1 0.0000 0.0000 0.4042
F2 0.0000 0.0000 0.5958
F3 0.3333 0.6667 0.0709
F4 0.3333 0.6667 0.2624
F5 0.6667 0.3333 0.7376
F6 0.6667 0.3333 0.9291

## Properties
As for the excess energy over the best structure of this formula in the dataset: 0.0 meV/atom. For the density of states at the Fermi level, the calculation gives 0.52 states/eV/f.u. The formation energy from raw total energies comes out at -2.603 eV/atom.

=====

No. 4
Computed, not measured: a geometry-optimized RbYF3 structure at the PBE level of DFT.

Cell: 4.6284 4.6284 4.6284 Å, 90.00 90.00 90.00°
Atoms (fractional coordinates):
Rb1 0.0000 0.0000 0.0000
Y1 0.5000 0.5000 0.5000
F1 0.0000 0.5000 0.5000
F2 0.5000 0.0000 0.5000
F3 0.5000 0.5000 0.0000

## Properties
As for the excess energy over the best structure of this formula in the dataset: 0.0 meV/atom. For the density of states at the Fermi level, the calculation gives 2.95 states/eV/f.u. The formation energy from raw total energies comes out at -3.035 eV/atom.

=====

No. 5
Computed, not measured: a geometry-optimized Rb2YF6 structure at the PBE level of DFT.

Cell: 7.5597 7.5597 7.5597 Å, 148.81 127.92 61.96°
Atoms (fractional coordinates):
Rb1 0.1684 0.1684 0.0000
Rb2 0.8316 0.8316 0.0000
Y1 0.5000 0.5000 0.0000
F1 0.1537 0.3647 0.7890
F2 0.3107 0.0000 0.3107
F3 0.4243 0.6353 0.7890
F4 0.5757 0.3647 0.2110
F5 0.6893 0.0000 0.6893
F6 0.8463 0.6353 0.2110

## Properties
For the density of states at the Fermi level, the calculation gives 9.53 states/eV/f.u. The formation energy from raw total energies comes out at -3.049 eV/atom.

=====

No. 6
Computed, not measured: a geometry-optimized RbY3F10 structure at the PBE level of DFT.

Cell: 8.3070 8.3070 8.3070 Å, 60.00 60.00 60.00°
Atoms (fractional coordinates):
Rb1 0.2500 0.2500 0.2500
Rb2 0.7500 0.7500 0.7500
Y1 0.2404 0.2404 0.7595
Y2 0.2404 0.7595 0.2404
Y3 0.2404 0.7595 0.7595
Y4 0.7595 0.2404 0.2404
Y5 0.7595 0.2404 0.7595
Y6 0.7595 0.7595 0.2404
F1 0.1106 0.1106 0.1106
F2 0.1106 0.1106 0.6682
F3 0.1106 0.6682 0.1106
F4 0.1709 0.5000 0.5000
F5 0.1709 0.5000 0.8291
F6 0.1709 0.8291 0.5000
F7 0.3318 0.8894 0.8894
F8 0.5000 0.1709 0.5000
F9 0.5000 0.1709 0.8291
F10 0.5000 0.5000 0.1709
F11 0.5000 0.5000 0.8291
F12 0.5000 0.8291 0.1709
F13 0.5000 0.8291 0.5000
F14 0.6682 0.1106 0.1106
F15 0.8291 0.1709 0.5000
F16 0.8291 0.5000 0.1709
F17 0.8291 0.5000 0.5000
F18 0.8894 0.3318 0.8894
F19 0.8894 0.8894 0.3318
F20 0.8894 0.8894 0.8894

## Properties
For the density of states at the Fermi level, the calculation gives 0.00 states/eV/f.u. The formation energy from raw total energies comes out at -3.962 eV/atom.